VASP calculation (PBE+U) on an optimized crystal structure of Zn2NiO3.

Cell: 3.041 4.292 9.128 Å, 90.00 90.00 90.00°
Space group Immm (No. 71)
Asymmetric unit:
Zn 0.000 0.000 0.166 x4
Ni 0.000 0.000 0.500 x2
O 0.000 0.500 0.163 x4
O 0.000 0.500 0.500 x2

Calculated values
The total energy comes out at -4.544 eV/atom. The total magnetic moment comes out at 4.0 μB/cell.